# 1
Entry from Alexandria via LeMat-Bulk: a relaxed structure of CaAsPb2 (PBE-GGA).

Unit cell a=8.928 b=8.928 c=8.928 alpha=26.50 beta=26.50 gamma=26.50
Atoms (fractional coordinates):
Ca 0.000 0.000 0.000
As 0.732 0.732 0.732
Pb 0.231 0.231 0.231
Pb 0.463 0.463 0.463

Calculated values
Symmetry   R3m (160)
Calculated total energy   -3.82 eV per atom

# 2
Entry from Alexandria via LeMat-Bulk: a relaxed structure of CaAsPb (PBE-GGA).

Unit cell a=6.092 b=6.092 c=6.092 alpha=143.11 beta=143.11 gamma=53.16
Atoms (fractional coordinates):
Ca 0.000 0.000 0.000
As 0.339 0.339 0.000
Pb 0.710 0.710 0.000

Calculated values
Symmetry   I4mm (107)
Calculated total energy   -3.84 eV per atom

# 3
Entry from Alexandria via LeMat-Bulk: a relaxed structure of CaAs3Pb (PBE-GGA).

Unit cell a=5.344 b=5.344 c=5.344 alpha=90.00 beta=90.00 gamma=90.00
Atoms (fractional coordinates):
Ca 0.000 0.000 0.000
As 0.000 0.000 0.500
As 0.000 0.500 0.000
As 0.500 0.000 0.000
Pb 0.500 0.500 0.500

Calculated values
Energy relative to the lowest polymorph listed for this composition   0.067 eV/atom
Symmetry   Pm-3m (221)